Version w
7
Lattice="-1.2229 5.2416 -1.4996 -1.3177 -1.7755 -5.1313 -5.9380 -2.7814 5.5293" Properties=species:S:1:pos:R:3 comment="HoEr2Hg4 (PBE-GGA, optimized geometry)" spacegroup="I4/mmm, No. 139" pbc="T T T"
Ho 0.0000 0.0000 0.0000
Er -2.7378 1.5196 -2.8647
Er -5.7408 -0.8349 1.7631
Hg -5.5989 1.1035 -1.9860
Hg -2.8797 -0.4188 0.8844
Hg -0.6589 -0.8877 -2.5656
Hg -0.6114 2.6208 -0.7498



Version x
7
Lattice="-4.0568 2.8942 0.8940 -0.8559 1.7899 4.6580 2.9642 8.5840 -0.0023" Properties=species:S:1:pos:R:3 comment="HoEr2Hg4 (PBE-GGA, optimized geometry)" spacegroup="R-3m, No. 166" pbc="T T T"
Hg -3.1630 7.3543 4.8474
Hg 1.2145 5.9139 0.7022
Hg -2.6877 4.0192 3.4648
Hg 0.7393 9.2490 2.0849
Ho 0.0000 0.0000 0.0000
Er -1.5325 9.8425 4.1909
Er -0.4159 3.4257 1.3588



Verdict on stability: version x comes out on top.



Version w
4
Lattice="-3.6558 -0.9079 1.1485 1.6113 -0.2476 4.9332 -1.0649 5.0482 0.6012" Properties=species:S:1:pos:R:3 comment="HoErHgPb (PBE-GGA, optimized geometry)" spacegroup="Pmmm, No. 47" pbc="T T T"
Ho -2.3603 2.0702 0.8748
Er -1.0222 -0.5777 3.0408
Hg 0.2732 2.4003 2.7672
Pb 0.0000 0.0000 0.0000



Version x
4
Lattice="5.3118 0.0000 0.0000 2.6559 4.6002 0.0000 2.6559 1.5334 4.3371" Properties=species:S:1:pos:R:3 comment="HoErHgPb (PBE-GGA, optimized geometry)" spacegroup="F-43m, No. 216" pbc="T T T"
Pb 2.6559 1.5334 1.0843
Ho 5.3118 3.0668 2.1685
Hg 7.9677 4.6002 3.2528
Er 0.0000 0.0000 0.0000



Verdict on stability: version w comes out on top.



Version w
4
Lattice="3.4544 0.0000 0.0000 0.0000 3.4544 0.0000 0.0000 0.0000 7.4679" Properties=species:S:1:pos:R:3 comment="HoErHgRu (PBE-GGA, optimized geometry)" spacegroup="P4mm, No. 99" pbc="T T T"
Ho 1.7272 1.7272 5.9089
Er 1.7272 1.7272 2.6204
Hg 0.0000 0.0000 0.5441
Ru 0.0000 0.0000 4.2545



Version x
4
Lattice="4.9958 0.0000 0.0000 2.4979 4.3265 0.0000 2.4979 1.4422 4.0791" Properties=species:S:1:pos:R:3 comment="HoErHgRu (PBE-GGA, optimized geometry)" spacegroup="F-43m, No. 216" pbc="T T T"
Ho 4.9958 2.8843 2.0395
Ru 7.4937 4.3265 3.0593
Hg 2.4979 1.4422 1.0198
Er 0.0000 0.0000 0.0000



Verdict on stability: version w comes out on top.



Version w
4
Lattice="5.2887 0.0000 0.0000 2.6443 4.5801 0.0000 2.6443 1.5267 4.3182" Properties=species:S:1:pos:R:3 comment="HoErTlHg (PBE-GGA, optimized geometry)" spacegroup="F-43m, No. 216" pbc="T T T"
Ho 2.6443 1.5267 1.0795
Tl 0.0000 0.0000 0.0000
Hg 5.2887 3.0534 2.1591
Er 7.9330 4.5801 3.2386



Version x
4
Lattice="3.7413 0.0000 0.0000 0.0000 3.7413 0.0000 0.0000 0.0000 7.4680" Properties=species:S:1:pos:R:3 comment="HoErTlHg (PBE-GGA, optimized geometry)" spacegroup="P4mm, No. 99" pbc="T T T"
Ho 1.8707 1.8707 0.8631
Er 1.8707 1.8707 4.4648
Tl 0.0000 0.0000 6.3894
Hg 0.0000 0.0000 2.6806



Verdict on stability: version x comes out on top.